Below is a geometry-optimized Li2YTc2 structure, with properties calculated at the GGA-PBE level.

Cell: 6.771 6.771 6.771 Å, 148.65 148.65 44.93°
Sites, in units of the cell vectors:
Li 0.105 0.105 0.000
Li 0.895 0.895 0.000
Y 0.500 0.500 0.000
Tc 0.250 0.750 0.500
Tc 0.750 0.250 0.500

## Properties
Distance to the lowest polymorph of the same formula (eV per atom): 0.000

---

Below is a geometry-optimized Sc2AsF structure, with properties calculated at the GGA-PBE level.

Cell: 6.876 6.876 6.876 Å, 35.03 35.03 35.03°
Sites, in units of the cell vectors:
Sc 0.106 0.106 0.106
Sc 0.894 0.894 0.894
As 0.500 0.500 0.500
F 0.000 0.000 0.000

## Properties
E_form (uncorrected) (meV per atom): -1849
Distance to the lowest polymorph of the same formula (eV per atom): 0.000

---

Below is a geometry-optimized AcMg2Si2Pt structure, with properties calculated at the GGA-PBE level.

Cell: 6.735 6.735 6.735 Å, 135.83 135.83 64.24°
Sites, in units of the cell vectors:
Ac 0.000 0.000 0.000
Mg 0.250 0.750 0.500
Mg 0.750 0.250 0.500
Si 0.299 0.299 0.000
Si 0.701 0.701 0.000
Pt 0.500 0.500 0.000

## Properties
E_form (uncorrected) (meV per atom): -234

---

Below is a geometry-optimized AlOsCl structure, with properties calculated at the GGA-PBE level.

Cell: 4.241 4.241 2.934 Å, 90.00 90.00 120.00°
Sites, in units of the cell vectors:
Al 0.000 0.000 0.000
Os 0.333 0.667 0.500
Cl 0.667 0.333 0.500

## Properties
E_form (uncorrected) (meV per atom): 517
Distance to the lowest polymorph of the same formula (eV per atom): 0.571

---

Below is a geometry-optimized Si2GePb structure, with properties calculated at the GGA-PBE level.

Cell: 7.221 7.221 7.221 Å, 131.45 131.45 71.10°
Sites, in units of the cell vectors:
Si 0.089 0.625 0.964
Si 0.375 0.339 0.464
Si 0.661 0.125 0.036
Si 0.875 0.911 0.536
Ge 0.000 0.000 0.000
Ge 0.750 0.250 0.500
Pb 0.250 0.750 0.500
Pb 0.500 0.500 0.000

## Properties
E_form (uncorrected) (meV per atom): 263
Distance to the lowest polymorph of the same formula (eV per atom): 0.000

---

Below is a geometry-optimized MgIn2Br6 structure, with properties calculated at the GGA-PBE level.

Cell: 10.819 10.819 6.880 Å, 98.69 98.69 76.48°
Sites, in units of the cell vectors:
Mg 0.002 0.998 0.750
Mg 0.998 0.002 0.250
In 0.313 0.519 0.716
In 0.481 0.687 0.784
In 0.519 0.313 0.216
In 0.687 0.481 0.284
Br 0.021 0.822 0.459
Br 0.096 0.553 0.820
Br 0.178 0.979 0.041
Br 0.286 0.437 0.324
Br 0.437 0.286 0.824
Br 0.447 0.904 0.680
Br 0.553 0.096 0.320
Br 0.563 0.714 0.176
Br 0.714 0.563 0.676
Br 0.822 0.021 0.959
Br 0.904 0.447 0.180
Br 0.979 0.178 0.541

## Properties
E_form (uncorrected) (meV per atom): -950
Distance to the lowest polymorph of the same formula (eV per atom): 0.000

---

Number 1: M_tot 0.00 μB/f.u.. Number 2: M_tot 0.00 μB/f.u.. Number 3: M_tot 0.00 μB/f.u.. Number 4: M_tot 0.00 μB/f.u.. Number 5: M_tot 0.00 μB/f.u.. Number 6: M_tot 0.00 μB/f.u..